DFT (GGA+U) results for an optimized crystal structure of GdFe4Cu3O12.

Cell and atoms, written as extended XYZ:
```
20
Lattice="-3.736 3.736 3.736 3.736 -3.736 3.736 3.736 3.736 -3.736" Properties=species:S:1:pos:R:3 pbc="T T T"
Gd 0.000 0.000 0.000
Fe 1.868 1.868 -1.868
Fe 1.868 -1.868 1.868
Fe -1.868 1.868 1.868
Fe 1.868 1.868 1.868
Cu 3.736 0.000 0.000
Cu 0.000 3.736 0.000
Cu 0.000 0.000 3.736
O 3.736 2.503 -1.428
O 2.308 0.000 1.233
O 5.164 0.000 1.233
O 1.233 2.308 0.000
O 2.503 -1.428 3.736
O 0.000 1.233 2.308
O 3.736 2.503 1.428
O 1.233 5.164 0.000
O 2.503 1.428 3.736
O -1.428 3.736 2.503
O 1.428 3.736 2.503
O 0.000 1.233 5.164
```

Properties
Space-group type: No. 204
Total magnetization in μB per formula unit: 26.82
VASP energy in eV per atom: -6.754